Entry 1:
{"formula": "InIrSeBr2", "functional": "PBE", "state": "optimized geometry", "lattice_angstrom": [[5.4086, 0.0000, 0.0000], [0.0000, 5.4086, 0.0000], [0.0000, 0.0000, 4.6919]], "species": ["Br", "In", "Ir", "Br", "Se"], "frac_coords": [[0.0000, 0.5000, 0.0000], [0.5000, 0.5000, 0.5000], [0.0000, 0.0000, 0.0000], [0.5000, 0.0000, 0.0000], [0.0000, 0.0000, 0.5000]], "space_group": "P4/mmm, No. 123", "e_form_raw_kj_per_mol_atoms": 0, "de_polymorph_mev_per_atom": 0, "vol_a3_per_atom": 27.45}



Entry 2:
{"formula": "In2SnIrBr", "functional": "PBE", "state": "optimized geometry", "lattice_angstrom": [[5.2564, 0.0000, 0.0000], [0.0000, 5.2564, 0.0000], [0.0000, 0.0000, 5.0687]], "species": ["Sn", "Br", "In", "In", "Ir"], "frac_coords": [[0.0000, 0.0000, 0.5000], [0.5000, 0.5000, 0.5000], [0.0000, 0.5000, 0.0000], [0.5000, 0.0000, 0.0000], [0.0000, 0.0000, 0.0000]], "space_group": "P4/mmm, No. 123", "e_form_raw_kj_per_mol_atoms": -40, "vol_a3_per_atom": 28.01}